## Li2GeIrO6 (PBE)

Data for a relaxed Li2GeIrO6 crystal.

The space group is P4mm (No. 99) and the conventional cell measures 5.430, 5.430 and 3.763 Å, with angles of 90.00, 90.00 and 90.00 degrees. The inequivalent atoms are Li at (0.000, 0.500, 0.000), Ge at (0.000, 0.000, 0.707), Ir at (0.500, 0.500, 0.736), O at (0.000, 0.000, 0.227), O at (0.246, 0.246, 0.769) and O at (0.500, 0.500, 0.243).

The total moment comes out at 0.000 μB/cell. The uncorrected formation energy comes out at -107.7 kJ per mole of atoms.


## Th3TcHg (PBE)

Data for a relaxed Th3TcHg crystal.

The space group is Pm-3m (No. 221) and the conventional cell measures 5.406, 5.406 and 5.406 Å, with angles of 90.00, 90.00 and 90.00 degrees. The inequivalent atoms are Th at (0.000, 0.000, 0.500), Tc at (0.000, 0.000, 0.000) and Hg at (0.500, 0.500, 0.500).

The total moment comes out at 0.000 μB/cell. As for the distance to the lowest polymorph of the same formula: 209 meV/atom. The value obtained for the formation enthalpy at 0 K is 0.035 eV/atom.


## Dy7Y12Al (PBE)

Data for a relaxed Dy7Y12Al crystal.

The space group is R-3m (No. 166, hexagonal axes) and the conventional cell measures 13.5719, 13.5719 and 11.8011 Å, with angles of 90.00, 90.00 and 120.00 degrees. The inequivalent atoms are Dy at (0.0000, 0.0000, 0.0000), Dy at (0.0596, 0.5298, 0.1231), Y at (0.0000, 0.2598, 0.0000), Y at (0.0862, 0.1724, 0.7520) and Al at (0.0000, 0.0000, 0.5000).

The total moment comes out at 0.001 μB/cell. The value obtained for the formation enthalpy at 0 K is 0.050 eV/atom.


## Pr3Dy2Co2 (PBE)

Data for a relaxed Pr3Dy2Co2 crystal.

The space group is C2/m (No. 12) and the conventional cell measures 12.178, 3.802 and 8.973 Å, with angles of 90.00, 114.99 and 90.00 degrees. The inequivalent atoms are Pr at (0.000, 0.000, 0.000), Pr at (0.114, 0.000, 0.424), Dy at (0.177, 0.500, 0.810) and Co at (0.185, 0.500, 0.243).

The total moment comes out at 0.000 μB/cell. The value obtained for the formation enthalpy at 0 K is -0.069 eV/atom.


## AlVMoRh (PBE)

Data for a relaxed AlVMoRh crystal.

The space group is F-43m (No. 216) and the conventional cell measures 6.113, 6.113 and 6.113 Å, with angles of 90.00, 90.00 and 90.00 degrees. The inequivalent atoms are Al at (0.000, 0.000, 0.000), V at (0.000, 0.000, 0.500), Mo at (0.250, 0.250, 0.750) and Rh at (0.250, 0.250, 0.250).

The total moment comes out at 0.001 μB/cell. The value obtained for the formation enthalpy at 0 K is -0.372 eV/atom.


## CeNd2PaSb4 (PBE)

Data for a relaxed CeNd2PaSb4 crystal.

The space group is P2/m (No. 10) and the conventional cell measures 7.751, 4.469 and 7.769 Å, with angles of 90.00, 109.35 and 90.00 degrees. The inequivalent atoms are Ce at (0.000, 0.000, 0.000), Nd at (0.000, 0.500, 0.500), Nd at (0.500, 0.000, 0.500), Pa at (0.500, 0.500, 0.000), Sb at (0.253, 0.500, 0.244) and Sb at (0.257, 0.000, 0.758).

The total moment comes out at 1.742 μB/cell. The uncorrected formation energy comes out at -93.3 kJ per mole of atoms.


## Pr4Nd4Y (PBE)

Data for a relaxed Pr4Nd4Y crystal.

The space group is C2/m (No. 12) and the conventional cell measures 15.629, 5.226 and 8.234 Å, with angles of 90.00, 108.56 and 90.00 degrees. The inequivalent atoms are Pr at (0.166, 0.000, 0.000), Pr at (0.222, 0.500, 0.333), Nd at (0.055, 0.000, 0.334), Nd at (0.111, 0.500, 0.668) and Y at (0.000, 0.500, 0.000).

The total moment comes out at 0.000 μB/cell. The value obtained for the formation enthalpy at 0 K is 0.012 eV/atom.


## TbSc2Te (PBE)

Data for a relaxed TbSc2Te crystal.

The space group is R3m (No. 160, hexagonal axes) and the conventional cell measures 3.7502, 3.7502 and 27.4799 Å, with angles of 90.00, 90.00 and 120.00 degrees. The inequivalent atoms are Tb at (0.0000, 0.0000, 0.0000), Sc at (0.0000, 0.0000, 0.2379), Sc at (0.0000, 0.0000, 0.4292) and Te at (0.0000, 0.0000, 0.8339).

The total moment comes out at 0.001 μB/cell. As for the distance to the lowest polymorph of the same formula: 219 meV/atom. The uncorrected formation energy comes out at -40.8 kJ per mole of atoms.


## ZnInHg (PBE)

Data for a relaxed ZnInHg crystal.

The space group is F-43m (No. 216) and the conventional cell measures 6.693, 6.693 and 6.693 Å, with angles of 90.00, 90.00 and 90.00 degrees. The inequivalent atoms are Zn at (0.000, 0.000, 0.000), In at (0.000, 0.000, 0.500) and Hg at (0.250, 0.250, 0.250).

The total moment comes out at 0.000 μB/cell. As for the distance to the lowest polymorph of the same formula: 64 meV/atom. The value obtained for the formation enthalpy at 0 K is 0.109 eV/atom.


## Ce6Tl (PBE)

Data for a relaxed Ce6Tl crystal.

The space group is Im-3m (No. 229) and the conventional cell measures 7.626, 7.626 and 7.626 Å, with angles of 90.00, 90.00 and 90.00 degrees. The inequivalent atoms are Ce at (0.000, 0.250, 0.500) and Tl at (0.000, 0.000, 0.000).

The total moment comes out at 0.000 μB/cell. The value obtained for the formation enthalpy at 0 K is 0.763 eV/atom.


## Ga3GePb (PBE)

Data for a relaxed Ga3GePb crystal.

The space group is Pm-3m (No. 221) and the conventional cell measures 5.013, 5.013 and 5.013 Å, with angles of 90.00, 90.00 and 90.00 degrees. The inequivalent atoms are Ga at (0.000, 0.000, 0.500), Ge at (0.000, 0.000, 0.000) and Pb at (0.500, 0.500, 0.500).

The total moment comes out at 0.000 μB/cell. As for the distance to the lowest polymorph of the same formula: 0 meV/atom. The value obtained for the formation enthalpy at 0 K is 0.331 eV/atom.


## ScTi2TeC (PBE)

Data for a relaxed ScTi2TeC crystal.

The space group is P4/mmm (No. 123) and the conventional cell measures 4.203, 4.203 and 4.689 Å, with angles of 90.00, 90.00 and 90.00 degrees. The inequivalent atoms are Sc at (0.000, 0.000, 0.000), Ti at (0.000, 0.500, 0.500), Te at (0.500, 0.500, 0.000) and C at (0.000, 0.000, 0.500).

The total moment comes out at 0.000 μB/cell. The uncorrected formation energy comes out at -48.3 kJ per mole of atoms.


Q: Look up the total moment of the seventh one.
A: 0.000 μB/cell


Copy entry 3 word for word.
## Dy7Y12Al (PBE)

Data for a relaxed Dy7Y12Al crystal.

The space group is R-3m (No. 166, hexagonal axes) and the conventional cell measures 13.5719, 13.5719 and 11.8011 Å, with angles of 90.00, 90.00 and 120.00 degrees. The inequivalent atoms are Dy at (0.0000, 0.0000, 0.0000), Dy at (0.0596, 0.5298, 0.1231), Y at (0.0000, 0.2598, 0.0000), Y at (0.0862, 0.1724, 0.7520) and Al at (0.0000, 0.0000, 0.5000).

The total moment comes out at 0.001 μB/cell. The value obtained for the formation enthalpy at 0 K is 0.050 eV/atom.


Copy entry 1 word for word.
## Li2GeIrO6 (PBE)

Data for a relaxed Li2GeIrO6 crystal.

The space group is P4mm (No. 99) and the conventional cell measures 5.430, 5.430 and 3.763 Å, with angles of 90.00, 90.00 and 90.00 degrees. The inequivalent atoms are Li at (0.000, 0.500, 0.000), Ge at (0.000, 0.000, 0.707), Ir at (0.500, 0.500, 0.736), O at (0.000, 0.000, 0.227), O at (0.246, 0.246, 0.769) and O at (0.500, 0.500, 0.243).

The total moment comes out at 0.000 μB/cell. The uncorrected formation energy comes out at -107.7 kJ per mole of atoms.